Record 1
CeCu4Au (PBE, relaxed); density = 10.524 g/cm³; space group = F-43m, No. 216
1.0
0.000 3.600 3.600
3.600 0.000 3.600
3.600 3.600 0.000
Ce Cu Au
1 4 1
Direct
0.000 0.000 0.000
0.129 0.624 0.624
0.624 0.129 0.624
0.624 0.624 0.129
0.624 0.624 0.624
0.250 0.250 0.250


Record 2
Ce4CuAu (PBE, relaxed); density = 9.901 g/cm³; space group = Cmcm, No. 63
1.0
3.153 -8.229 0.000
3.153 8.229 0.000
0.000 0.000 5.307
Ce Cu Au
8 2 2
Direct
0.127 0.418 0.750
0.195 0.258 0.250
0.258 0.195 0.750
0.418 0.127 0.250
0.582 0.873 0.750
0.742 0.805 0.250
0.805 0.742 0.750
0.873 0.582 0.250
0.195 0.805 0.750
0.805 0.195 0.250
0.299 0.701 0.250
0.701 0.299 0.750


Record 3
Ce3CuAu3 (PBE, relaxed); density = 10.556 g/cm³; space group = Imm2, No. 44
1.0
-1.868 2.301 9.832
1.868 -2.301 9.832
1.868 2.301 -9.832
Ce Cu Au
3 1 3
Direct
0.000 0.000 0.000
0.372 0.372 0.000
0.690 0.190 0.500
0.256 0.756 0.500
0.126 0.626 0.500
0.536 0.536 0.000
0.829 0.829 0.000


Record 4
Ce2CuAu3 (PBE, relaxed); density = 11.864 g/cm³; space group = Fmmm, No. 69
1.0
0.000 4.684 8.158
3.423 0.000 8.158
3.423 4.684 0.000
Ce Cu Au
4 2 6
Direct
0.242 0.758 0.758
0.250 0.250 0.250
0.750 0.750 0.750
0.758 0.242 0.242
0.332 0.332 0.668
0.668 0.668 0.332
0.172 0.172 0.828
0.175 0.653 0.347
0.347 0.825 0.175
0.653 0.175 0.825
0.825 0.347 0.653
0.828 0.828 0.172


Record 5
Ce3Cu2Au3 (PBE, relaxed); density = 10.593 g/cm³; space group = Cmcm, No. 63
1.0
2.254 -5.235 0.000
2.254 5.235 0.000
0.000 0.000 15.122
Ce Cu Au
6 4 6
Direct
0.084 0.916 0.600
0.084 0.916 0.900
0.348 0.652 0.750
0.652 0.348 0.250
0.916 0.084 0.100
0.916 0.084 0.400
0.214 0.786 0.106
0.214 0.786 0.394
0.786 0.214 0.606
0.786 0.214 0.894
0.364 0.636 0.250
0.379 0.621 0.545
0.379 0.621 0.955
0.621 0.379 0.045
0.621 0.379 0.455
0.636 0.364 0.750


Record 6
CeCu2Au10 (PBE, relaxed); density = 15.252 g/cm³; space group = Fmmm, No. 69
1.0
0.000 6.579 6.771
2.734 0.000 6.771
2.734 6.579 0.000
Ce Cu Au
1 2 10
Direct
0.000 0.000 0.000
0.000 0.000 0.500
0.500 0.500 0.000
0.000 0.500 0.000
0.015 0.659 0.341
0.285 0.508 0.492
0.341 0.985 0.015
0.492 0.715 0.285
0.500 0.000 0.500
0.508 0.285 0.715
0.659 0.015 0.985
0.715 0.492 0.508
0.985 0.341 0.659


Record 7
Ce3CuAu2 (PBE, relaxed); density = 10.531 g/cm³; space group = Pnma, No. 62
1.0
12.962 0.000 0.000
0.000 4.614 0.000
0.000 0.000 9.258
Ce Cu Au
12 4 8
Direct
0.051 0.250 0.077
0.125 0.750 0.596
0.241 0.250 0.760
0.259 0.750 0.260
0.375 0.250 0.096
0.449 0.750 0.577
0.551 0.250 0.423
0.625 0.750 0.904
0.741 0.250 0.740
0.759 0.750 0.240
0.875 0.250 0.404
0.949 0.750 0.923
0.112 0.250 0.387
0.388 0.750 0.887
0.612 0.250 0.113
0.888 0.750 0.613
0.013 0.750 0.300
0.190 0.750 0.957
0.310 0.250 0.457
0.487 0.250 0.800
0.513 0.750 0.200
0.690 0.750 0.543
0.810 0.250 0.043
0.987 0.250 0.700


Record 8
CeCu5Au7 (PBE, relaxed); density = 13.867 g/cm³; space group = Imm2, No. 44
1.0
-2.635 4.559 4.577
2.635 -4.559 4.577
2.635 4.559 -4.577
Ce Cu Au
1 5 7
Direct
0.000 0.000 0.000
0.010 0.004 0.504
0.010 0.507 0.006
0.236 0.736 0.500
0.500 0.004 0.994
0.500 0.507 0.496
0.214 0.510 0.704
0.336 0.336 0.000
0.342 0.001 0.342
0.658 0.658 0.000
0.659 0.001 0.658
0.779 0.279 0.500
0.806 0.510 0.296


Number 1: energy -4.5392 eV per atom. Number 2: energy -5.3104 eV per atom. Number 3: energy -5.0608 eV per atom. Number 4: energy -4.8776 eV per atom. Number 5: energy -4.9520 eV per atom. Number 6: energy -3.8051 eV per atom. Number 7: energy -5.1747 eV per atom. Number 8: energy -4.0164 eV per atom.